Entry from Alexandria: a geometry-optimized VWSe2 structure (GGA-PBE).

Summary:
Offset from the most stable computed form (eV per atom): 0.035
Uncorrected formation energy (meV per atom): 113
Crystal system: cubic

abc: 4.463 4.463 4.463
angles: 60.00 60.00 60.00
Last column: magnetic moment on the atom in μB.
Fractional coordinates of all 4 atoms:
1 W 0.500 0.500 0.500  0.29
2 Se 0.250 0.250 0.250  -0.04
3 Se 0.750 0.750 0.750  -0.04
4 V 0.000 0.000 0.000  2.01

---

Entry from Alexandria: a geometry-optimized Li5La4Pt6 structure (GGA-PBE).

Summary:
ΔH_f (0 K) (meV per atom): -794
Crystal system: orthorhombic

abc: 4.151 10.359 15.335
angles: 90.00 90.00 101.56
Fractional coordinates of all 30 atoms:
1 Li 0.432 0.863 0.672
2 Li 0.568 0.137 0.172
3 Li 0.154 0.307 0.628
4 Li 0.846 0.693 0.128
5 Li 0.643 0.287 0.495
6 Li 0.357 0.713 0.995
7 Li 0.299 0.598 0.618
8 Li 0.701 0.402 0.118
9 Li 0.340 0.679 0.256
10 Li 0.660 0.321 0.756
11 La 0.972 0.943 0.271
12 La 0.028 0.057 0.771
13 La 0.167 0.334 0.306
14 La 0.833 0.666 0.806
15 La 0.814 0.628 0.441
16 La 0.186 0.372 0.941
17 La 0.004 0.008 0.512
18 La 0.996 0.992 0.012
19 Pt 0.767 0.533 0.263
20 Pt 0.421 0.842 0.403
21 Pt 0.783 0.566 0.984
22 Pt 0.217 0.434 0.484
23 Pt 0.440 0.880 0.858
24 Pt 0.560 0.120 0.358
25 Pt 0.438 0.876 0.133
26 Pt 0.562 0.124 0.633
27 Pt 0.120 0.239 0.116
28 Pt 0.880 0.761 0.616
29 Pt 0.579 0.158 0.903
30 Pt 0.233 0.467 0.763